Record 1
A plane-wave DFT calculation with PBE was carried out for MnTcCl4 after structural relaxation.

POSCAR file:
```
MnTcCl4
1.0
-1.800 -1.167 5.414
1.562 3.479 4.401
-3.960 3.422 2.553
Mn Tc Cl
1 1 4
Direct
0.750 0.750 0.750
0.000 0.000 0.000
0.875 0.375 0.375
0.375 0.375 0.875
0.375 0.875 0.375
0.375 0.375 0.375
```

Properties
- spin magnetization (μB/cell) = 10.65
- Fermi-level density of states (states/eV/cell) = 7.766
- VASP energy (eV/atom) = -3.36
- space group = F-43m (216)
- formation energy without anion corrections (meV/atom) = 1123

Record 2
A plane-wave DFT calculation with PBE was carried out for MnTc2Cl after structural relaxation.

POSCAR file:
```
MnTc2Cl
1.0
-1.222 -1.745 3.857
3.053 -1.441 2.832
0.743 2.198 3.747
Cl Mn Tc
1 1 2
Direct
0.500 0.500 0.500
0.750 0.750 0.750
0.000 0.000 0.000
0.250 0.250 0.250
```

Properties
- spin magnetization (μB/cell) = 3.29
- Fermi-level density of states (states/eV/cell) = 6.127
- VASP energy (eV/atom) = -7.06
- space group = F-43m (216)
- formation energy without anion corrections (meV/atom) = 877

Record 3
A plane-wave DFT calculation with PBE was carried out for Mn2TcCl8 after structural relaxation.

POSCAR file:
```
Mn2TcCl8
1.0
6.226 -0.610 0.462
0.004 7.847 2.886
-0.829 3.025 7.751
Mn Tc Cl
2 1 8
Direct
0.550 0.845 0.845
0.450 0.155 0.155
0.000 0.000 0.000
0.241 0.823 0.298
0.241 0.298 0.823
0.759 0.177 0.702
0.390 0.298 0.298
0.759 0.702 0.177
0.172 0.864 0.864
0.828 0.136 0.136
0.610 0.702 0.702
```

Properties
- spin magnetization (μB/cell) = 13.01
- Fermi-level density of states (states/eV/cell) = 0.388
- VASP energy (eV/atom) = -4.77
- space group = C2/m (12)
- formation energy without anion corrections (meV/atom) = -822

Record 4
A plane-wave DFT calculation with PBE was carried out for MnTc2Cl after structural relaxation.

POSCAR file:
```
MnTc2Cl
1.0
-2.143 -1.244 3.022
-0.033 -2.657 -1.118
4.323 -2.476 2.046
Cl Mn Tc
1 1 2
Direct
0.000 0.297 0.531
0.500 0.691 0.744
0.000 0.066 0.993
0.500 0.447 0.232
```

Properties
- spin magnetization (μB/cell) = 2.98
- Fermi-level density of states (states/eV/cell) = 3.888
- VASP energy (eV/atom) = -7.50
- space group = Amm2 (38)
- formation energy without anion corrections (meV/atom) = 435

Record 5
A plane-wave DFT calculation with PBE was carried out for MnTc2Cl after structural relaxation.

POSCAR file:
```
MnTc2Cl
1.0
5.313 0.000 0.000
0.000 5.313 0.000
2.657 2.657 5.233
Mn Tc Cl
2 4 2
Direct
0.000 0.000 0.000
0.750 0.250 0.500
0.646 0.125 0.250
0.104 0.625 0.250
0.375 0.354 0.750
0.875 0.896 0.750
0.500 0.500 0.000
0.250 0.750 0.500
```

Properties
- spin magnetization (μB/cell) = 0.00
- Fermi-level density of states (states/eV/cell) = 4.916
- VASP energy (eV/atom) = -7.03
- space group = I-42d (122)
- formation energy without anion corrections (meV/atom) = 908

Record 6
A plane-wave DFT calculation with PBE was carried out for MnTc2Cl after structural relaxation.

POSCAR file:
```
MnTc2Cl
1.0
2.854 0.080 0.000
-1.291 2.546 0.000
0.000 0.000 8.505
Cl Mn Tc
1 1 2
Direct
0.000 0.000 0.525
0.500 0.500 0.747
0.000 0.000 0.997
0.500 0.500 0.232
```

Properties
- spin magnetization (μB/cell) = 3.82
- Fermi-level density of states (states/eV/cell) = 3.533
- VASP energy (eV/atom) = -7.57
- space group = Cmm2 (35)
- formation energy without anion corrections (meV/atom) = 370

Record 7
A plane-wave DFT calculation with PBE was carried out for Mn4TeCl after structural relaxation.

POSCAR file:
```
Mn4TeCl
1.0
0.000 3.887 3.887
3.887 0.000 3.887
3.887 3.887 0.000
Mn Te Cl
4 1 1
Direct
0.873 0.376 0.376
0.376 0.376 0.873
0.376 0.873 0.376
0.376 0.376 0.376
0.750 0.750 0.750
0.000 0.000 0.000
```

Properties
- spin magnetization (μB/cell) = 17.14
- Fermi-level density of states (states/eV/cell) = 5.324
- VASP energy (eV/atom) = -6.43
- space group = F-43m (216)
- formation energy without anion corrections (meV/atom) = 510

Record 8
A plane-wave DFT calculation with PBE was carried out for MnTe2Cl after structural relaxation.

POSCAR file:
```
MnTe2Cl
1.0
5.183 0.038 0.228
-1.516 4.956 0.228
1.526 2.079 4.342
Cl Mn Te
1 1 2
Direct
0.500 0.000 0.500
0.000 0.500 0.500
0.000 0.000 0.000
0.500 0.500 0.000
```

Properties
- spin magnetization (μB/cell) = 4.26
- Fermi-level density of states (states/eV/cell) = 3.307
- VASP energy (eV/atom) = -4.20
- space group = C2/m (12)
- formation energy without anion corrections (meV/atom) = 127

Record 9
A plane-wave DFT calculation with PBE was carried out for MnTe2Cl after structural relaxation.

POSCAR file:
```
MnTe2Cl
1.0
5.468 0.000 0.000
0.000 5.468 0.000
0.000 0.000 3.166
Cl Mn Te
1 1 2
Direct
0.500 0.000 0.500
0.000 0.500 0.500
0.000 0.000 0.000
0.500 0.500 0.000
```

Properties
- spin magnetization (μB/cell) = 3.95
- Fermi-level density of states (states/eV/cell) = 4.407
- VASP energy (eV/atom) = -3.99
- space group = P4/mmm (123)
- formation energy without anion corrections (meV/atom) = 338

Record 10
A plane-wave DFT calculation with PBE was carried out for MnTe2Cl after structural relaxation.

POSCAR file:
```
MnTe2Cl
1.0
7.703 0.089 0.023
4.683 6.117 -0.023
-5.474 -4.537 2.965
Cl Mn Te
1 1 2
Direct
0.398 0.398 0.000
0.279 0.779 0.500
0.129 0.129 0.000
0.693 0.193 0.500
```

Properties
- spin magnetization (μB/cell) = 4.17
- Fermi-level density of states (states/eV/cell) = 1.330
- VASP energy (eV/atom) = -4.60
- space group = Imm2 (44)
- formation energy without anion corrections (meV/atom) = -275

Record 11
A plane-wave DFT calculation with PBE was carried out for MnTe2Cl after structural relaxation.

POSCAR file:
```
MnTe2Cl
1.0
-0.776 1.950 -2.965
1.067 -2.768 -2.096
-6.889 -2.684 0.038
Cl Mn Te
1 1 2
Direct
0.500 0.500 0.250
0.500 0.500 0.750
0.000 0.000 0.944
0.000 0.000 0.556
```

Properties
- spin magnetization (μB/cell) = 4.02
- Fermi-level density of states (states/eV/cell) = 1.578
- VASP energy (eV/atom) = -4.39
- space group = P4/mmm (123)
- formation energy without anion corrections (meV/atom) = -64

Record 12
A plane-wave DFT calculation with PBE was carried out for MnTeCl3 after structural relaxation.

POSCAR file:
```
MnTeCl3
1.0
4.686 0.000 0.000
0.000 4.686 0.000
0.000 0.000 4.686
Te Mn Cl
1 1 3
Direct
0.500 0.500 0.500
0.000 0.000 0.000
0.000 0.500 0.000
0.000 0.000 0.500
0.500 0.000 0.000
```

Properties
- spin magnetization (μB/cell) = 0.66
- Fermi-level density of states (states/eV/cell) = 6.872
- VASP energy (eV/atom) = -3.46
- space group = Pm-3m (221)
- formation energy without anion corrections (meV/atom) = 114